Entry from the Alexandria database: crystalline Dy8Ho3Er4 at its relaxed geometry (PBE-GGA).

Results
Magnetic moment = 0.00 μB per formula unit
Offset from the most stable computed form = 256 meV/atom
Formation enthalpy at 0 K = 0.41 eV per atom

Cell lengths 13.239, 12.704, 6.683 Å; angles 90.00, 120.20, 90.00 degrees
Space group C2/m (No. 12)
Asymmetric unit:
Dy (0.000, 0.142, 0.000) x4
Dy (0.000, 0.249, 0.500) x4
Dy (0.232, 0.000, 0.464) x4
Dy (0.235, 0.000, 0.989) x4
Ho (0.000, 0.000, 0.500) x2
Ho (0.250, 0.250, 0.500) x4
Er (0.000, 0.500, 0.000) x2
Er (0.000, 0.500, 0.500) x2
Er (0.250, 0.250, 0.000) x4

Entry from the Alexandria database: crystalline Dy3Ho4Er2 at its relaxed geometry (PBE-GGA).

Results
Magnetic moment = 0.00 μB per formula unit
Offset from the most stable computed form = 85 meV/atom
Formation enthalpy at 0 K = 0.10 eV per atom

Cell lengths 16.088, 11.451, 6.056 Å; angles 90.00, 96.03, 90.00 degrees
Space group C2/c (No. 15)
Asymmetric unit:
Dy (0.000, 0.097, 0.250) x4
Dy (0.167, 0.403, 0.082) x8
Ho (0.046, 0.359, 0.514) x8
Ho (0.213, 0.142, 0.347) x8
Er (0.120, 0.141, 0.819) x8

Entry from the Alexandria database: crystalline Dy2Ho3Er5 at its relaxed geometry (PBE-GGA).

Results
Magnetic moment = 0.00 μB per formula unit
Offset from the most stable computed form = 155 meV/atom
Formation enthalpy at 0 K = 0.36 eV per atom

Cell lengths 12.652, 16.783, 6.194 Å; angles 90.00, 90.00, 90.00 degrees
Space group Ibam (No. 72)
Asymmetric unit:
Dy (0.100, 0.157, 0.000) x8
Ho (0.000, 0.000, 0.250) x4
Ho (0.159, 0.250, 0.500) x8
Er (0.000, 0.500, 0.250) x4
Er (0.099, 0.344, 0.000) x8
Er (0.249, 0.500, 0.250) x8

Entry from the Alexandria database: crystalline Dy2Ho3Er8 at its relaxed geometry (PBE-GGA).

Results
Magnetic moment = 0.00 μB per formula unit
Offset from the most stable computed form = 154 meV/atom
Formation enthalpy at 0 K = 0.25 eV per atom

Cell lengths 20.142, 7.511, 5.525 Å; angles 90.00, 90.02, 90.00 degrees
Space group C2/m (No. 12)
Asymmetric unit:
Dy (0.241, 0.000, 0.499) x4
Ho (0.000, 0.000, 0.500) x2
Ho (0.000, 0.284, 0.000) x4
Er (0.109, 0.287, 0.500) x8
Er (0.133, 0.000, 0.000) x4
Er (0.166, 0.500, 0.001) x4

Entry from the Alexandria database: crystalline Dy2HoEr at its relaxed geometry (PBE-GGA).

Results
Magnetic moment = 0.00 μB per formula unit
Offset from the most stable computed form = 0 meV/atom
Formation enthalpy at 0 K = 0.01 eV per atom

Cell lengths 3.5493, 3.5493, 34.0457 Å; angles 90.00, 90.00, 120.00 degrees
Space group R3m (No. 160, hexagonal axes)
Asymmetric unit:
Dy (0.0000, 0.0000, 0.0000) x3
Dy (0.0000, 0.0000, 0.1664) x3
Ho (0.0000, 0.0000, 0.7495) x3
Er (0.0000, 0.0000, 0.5832) x3

Entry from the Alexandria database: crystalline Dy2Ho5Er5 at its relaxed geometry (PBE-GGA).

Results
Magnetic moment = 0.00 μB per formula unit
Formation enthalpy at 0 K = 0.02 eV per atom

Cell lengths 14.887, 4.966, 11.099 Å; angles 90.00, 116.54, 90.00 degrees
Space group C2/m (No. 12)
Asymmetric unit:
Dy (0.083, 0.000, 0.250) x4
Ho (0.000, 0.500, 0.000) x2
Ho (0.084, 0.500, 0.750) x4
Ho (0.167, 0.500, 0.500) x4
Er (0.000, 0.000, 0.500) x2
Er (0.167, 0.000, 0.000) x4
Er (0.250, 0.000, 0.750) x4

Entry from the Alexandria database: crystalline DyHo4Er at its relaxed geometry (PBE-GGA).

Results
Magnetic moment = 0.00 μB per formula unit
Offset from the most stable computed form = 16 meV/atom
Formation enthalpy at 0 K = 0.02 eV per atom

Cell lengths 3.513, 4.976, 10.535 Å; angles 90.00, 90.28, 90.00 degrees
Space group P2/m (No. 10)
Asymmetric unit:
Dy (0.000, 0.000, 0.000) x1
Ho (0.000, 0.000, 0.334) x2
Ho (0.500, 0.500, 0.167) x2
Er (0.500, 0.500, 0.500) x1

Entry from the Alexandria database: crystalline Dy4Ho3Er5 at its relaxed geometry (PBE-GGA).

Results
Magnetic moment = 0.53 μB per formula unit
Offset from the most stable computed form = 227 meV/atom
Formation enthalpy at 0 K = 0.25 eV per atom

Cell lengths 15.853, 5.815, 9.180 Å; angles 90.00, 116.47, 90.00 degrees
Space group C2/m (No. 12)
Asymmetric unit:
Dy (0.081, 0.000, 0.441) x4
Dy (0.214, 0.000, 0.879) x4
Ho (0.000, 0.500, 0.000) x2
Ho (0.210, 0.000, 0.233) x4
Er (0.000, 0.000, 0.000) x2
Er (0.073, 0.500, 0.700) x4
Er (0.173, 0.500, 0.386) x4